No. 1
A plane-wave DFT calculation with GGA-PBE was carried out for a geometry-optimized RbInGe structure.

energy of formation = 0.082 eV per atom

```
data_RbInGe
_cell_length_a 5.1512
_cell_length_b 5.1512
_cell_length_c 7.9816
_cell_angle_alpha 90.00
_cell_angle_beta 90.00
_cell_angle_gamma 120.00
_space_group_name_H-M_alt 'P -6 m 2'
_space_group_IT_number 187
_space_group_name_Hall 'P -6 2'
loop_
_atom_site_label
_atom_site_fract_x
_atom_site_fract_y
_atom_site_fract_z
Rb1 0.0000 0.0000 0.0000
Rb2 0.0000 0.0000 0.5000
In1 0.6667 0.3333 0.2130
Ge1 0.3333 0.6667 0.3177
```


No. 2
A plane-wave DFT calculation with GGA-PBE was carried out for a geometry-optimized Cs2Tl2SeI2 structure.

formation energy without anion corrections = -0.96 eV per atom

```
data_Cs2Tl2SeI2
_cell_length_a 14.7063
_cell_length_b 5.1121
_cell_length_c 10.0355
_cell_angle_alpha 90.00
_cell_angle_beta 118.53
_cell_angle_gamma 90.00
_space_group_name_H-M_alt 'C 1 2/m 1'
_space_group_IT_number 12
loop_
_space_group_symop_operation_xyz
'x,y,z'
'-x,-y,-z'
'-x,y,-z'
'x,-y,z'
'x+1/2,y+1/2,z'
'-x+1/2,-y+1/2,-z'
'-x+1/2,y+1/2,-z'
'x+1/2,-y+1/2,z'
loop_
_atom_site_label
_atom_site_fract_x
_atom_site_fract_y
_atom_site_fract_z
Cs1 0.0482 0.0000 0.2985
Tl1 0.2105 0.5000 0.0778
Se1 0.0000 0.5000 0.0000
I1 0.1721 0.5000 0.6541
```


No. 3
A plane-wave DFT calculation with GGA-PBE was carried out for a geometry-optimized MnCu2BiN structure.

formation energy without anion corrections = 0.54 eV per atom

```
data_MnCu2BiN
_cell_length_a 3.8791
_cell_length_b 3.8791
_cell_length_c 5.3786
_cell_angle_alpha 90.00
_cell_angle_beta 90.00
_cell_angle_gamma 90.00
_space_group_name_H-M_alt 'P 4/m m m'
_space_group_IT_number 123
_space_group_name_Hall '-P 4 2'
loop_
_atom_site_label
_atom_site_fract_x
_atom_site_fract_y
_atom_site_fract_z
Mn1 0.0000 0.0000 0.0000
Cu1 0.0000 0.5000 0.5000
Bi1 0.5000 0.5000 0.0000
N1 0.5000 0.5000 0.5000
```


No. 4
A plane-wave DFT calculation with GGA-PBE was carried out for a geometry-optimized Ce2BiCl structure.

formation energy without anion corrections = -1.08 eV per atom

```
data_Ce2BiCl
_cell_length_a 4.3654
_cell_length_b 4.3654
_cell_length_c 20.6884
_cell_angle_alpha 90.00
_cell_angle_beta 90.00
_cell_angle_gamma 120.00
_space_group_name_H-M_alt 'R -3 m'
_space_group_IT_number 166
_space_group_name_Hall '-R 3 2"'
loop_
_atom_site_label
_atom_site_fract_x
_atom_site_fract_y
_atom_site_fract_z
Ce1 0.0000 0.0000 0.2374
Bi1 0.0000 0.0000 0.0000
Cl1 0.0000 0.0000 0.5000
```


No. 5
A plane-wave DFT calculation with GGA-PBE was carried out for a geometry-optimized CeTm2TlN structure.

formation energy without anion corrections = -0.84 eV per atom

```
data_CeTm2TlN
_cell_length_a 4.7933
_cell_length_b 4.7933
_cell_length_c 4.8637
_cell_angle_alpha 90.00
_cell_angle_beta 90.00
_cell_angle_gamma 90.00
_space_group_name_H-M_alt 'P 4/m m m'
_space_group_IT_number 123
_space_group_name_Hall '-P 4 2'
loop_
_atom_site_label
_atom_site_fract_x
_atom_site_fract_y
_atom_site_fract_z
Ce1 0.0000 0.0000 0.0000
Tm1 0.0000 0.5000 0.5000
Tl1 0.5000 0.5000 0.0000
N1 0.0000 0.0000 0.5000
```


No. 6
A plane-wave DFT calculation with GGA-PBE was carried out for a geometry-optimized RbTb3F10 structure.

formation energy without anion corrections = -3.99 eV per atom

```
data_RbTb3F10
_cell_length_a 11.7737
_cell_length_b 11.7737
_cell_length_c 11.7737
_cell_angle_alpha 90.00
_cell_angle_beta 90.00
_cell_angle_gamma 90.00
_space_group_name_H-M_alt 'F m -3 m'
_space_group_IT_number 225
_space_group_name_Hall '-F 4 2 3'
loop_
_atom_site_label
_atom_site_fract_x
_atom_site_fract_y
_atom_site_fract_z
Rb1 0.2500 0.2500 0.2500
Tb1 0.0000 0.0000 0.2402
F1 0.0000 0.1645 0.3355
F2 0.1106 0.1106 0.1106
```


No. 7
A plane-wave DFT calculation with GGA-PBE was carried out for a geometry-optimized Th4InTe2Se structure.

formation energy without anion corrections = -0.92 eV per atom

```
data_Th4InTe2Se
_cell_length_a 7.4749
_cell_length_b 4.4681
_cell_length_c 7.8514
_cell_angle_alpha 90.00
_cell_angle_beta 109.98
_cell_angle_gamma 90.00
_space_group_name_H-M_alt 'P 1 2/m 1'
_space_group_IT_number 10
loop_
_space_group_symop_operation_xyz
'x,y,z'
'-x,-y,-z'
'-x,y,-z'
'x,-y,z'
loop_
_atom_site_label
_atom_site_fract_x
_atom_site_fract_y
_atom_site_fract_z
Th1 0.2280 0.0000 0.2247
Th2 0.2403 0.5000 0.7664
In1 0.5000 0.0000 0.0000
Te1 0.0000 0.0000 0.5000
Te2 0.5000 0.5000 0.5000
Se1 0.0000 0.5000 0.0000
```


No. 8
A plane-wave DFT calculation with GGA-PBE was carried out for a geometry-optimized KAcCuO3 structure.

formation energy without anion corrections = -1.96 eV per atom

```
data_KAcCuO3
_cell_length_a 13.5765
_cell_length_b 4.0861
_cell_length_c 7.5710
_cell_angle_alpha 90.00
_cell_angle_beta 106.65
_cell_angle_gamma 90.00
_space_group_name_H-M_alt 'C 1 2/m 1'
_space_group_IT_number 12
loop_
_space_group_symop_operation_xyz
'x,y,z'
'-x,-y,-z'
'-x,y,-z'
'x,-y,z'
'x+1/2,y+1/2,z'
'-x+1/2,-y+1/2,-z'
'-x+1/2,y+1/2,-z'
'x+1/2,-y+1/2,z'
loop_
_atom_site_label
_atom_site_fract_x
_atom_site_fract_y
_atom_site_fract_z
K1 0.1377 0.0000 0.0645
Ac1 0.1505 0.0000 0.5887
Cu1 0.0069 0.5000 0.2807
O1 0.0069 0.0000 0.2902
O2 0.1418 0.5000 0.7863
O3 0.1571 0.5000 0.3639
```


No. 9
A plane-wave DFT calculation with GGA-PBE was carried out for a geometry-optimized CdAgSb2 structure.

formation energy without anion corrections = 0.13 eV per atom

```
data_CdAgSb2
_cell_length_a 3.1969
_cell_length_b 3.1969
_cell_length_c 9.4245
_cell_angle_alpha 90.00
_cell_angle_beta 90.00
_cell_angle_gamma 90.00
_space_group_name_H-M_alt 'P 4 m m'
_space_group_IT_number 99
loop_
_space_group_symop_operation_xyz
'x,y,z'
'-y,x,z'
'-x,-y,z'
'y,-x,z'
'-x,y,z'
'y,x,z'
'x,-y,z'
'-y,-x,z'
loop_
_atom_site_label
_atom_site_fract_x
_atom_site_fract_y
_atom_site_fract_z
Cd1 0.0000 0.0000 0.0000
Ag1 0.5000 0.5000 0.7903
Sb1 0.0000 0.0000 0.5609
Sb2 0.5000 0.5000 0.2606
```


No. 10
A plane-wave DFT calculation with GGA-PBE was carried out for a geometry-optimized Cs2RbRuI6 structure.

formation energy without anion corrections = -0.87 eV per atom

```
data_Cs2RbRuI6
_cell_length_a 8.3556
_cell_length_b 12.3884
_cell_length_c 9.4686
_cell_angle_alpha 90.00
_cell_angle_beta 90.00
_cell_angle_gamma 90.00
_space_group_name_H-M_alt 'P m m n'
_space_group_IT_number 59
loop_
_space_group_symop_operation_xyz
'x,y,z'
'-x,-y,-z'
'-x+1/2,-y+1/2,z'
'x+1/2,y+1/2,-z'
'x+1/2,-y,-z'
'-x+1/2,y,z'
'-x,y+1/2,-z'
'x,-y+1/2,z'
loop_
_atom_site_label
_atom_site_fract_x
_atom_site_fract_y
_atom_site_fract_z
Cs1 0.2500 0.0255 0.2018
Rb1 0.2500 0.2500 0.7004
Ru1 0.2500 0.7500 0.7926
I1 0.0182 0.7500 0.5900
I2 0.0213 0.7500 0.9996
I3 0.2500 0.5296 0.7913
```


No. 11
A plane-wave DFT calculation with GGA-PBE was carried out for a geometry-optimized CaScO2 structure.

formation energy without anion corrections = -2.24 eV per atom

```
data_CaScO2
_cell_length_a 5.6947
_cell_length_b 5.6947
_cell_length_c 5.6947
_cell_angle_alpha 90.00
_cell_angle_beta 90.00
_cell_angle_gamma 90.00
_space_group_name_H-M_alt 'F m -3 m'
_space_group_IT_number 225
_space_group_name_Hall '-F 4 2 3'
loop_
_atom_site_label
_atom_site_fract_x
_atom_site_fract_y
_atom_site_fract_z
Ca1 0.0000 0.0000 0.0000
Sc1 0.0000 0.0000 0.5000
O1 0.2500 0.2500 0.2500
```


No. 12
A plane-wave DFT calculation with GGA-PBE was carried out for a geometry-optimized La2Nd6SmMg structure.

energy of formation = 0.103 eV per atom

```
data_La2Nd6SmMg
_cell_length_a 10.5770
_cell_length_b 13.8614
_cell_length_c 9.6235
_cell_angle_alpha 90.00
_cell_angle_beta 100.39
_cell_angle_gamma 90.00
_space_group_name_H-M_alt 'C 1 2/c 1'
_space_group_IT_number 15
loop_
_space_group_symop_operation_xyz
'x,y,z'
'-x,-y,-z'
'-x,y,-z+1/2'
'x,-y,z+1/2'
'x+1/2,y+1/2,z'
'-x+1/2,-y+1/2,-z'
'-x+1/2,y+1/2,-z+1/2'
'x+1/2,-y+1/2,z+1/2'
loop_
_atom_site_label
_atom_site_fract_x
_atom_site_fract_y
_atom_site_fract_z
La1 0.2355 0.0308 0.0911
Nd1 0.0496 0.3796 0.5949
Nd2 0.0933 0.1724 0.4244
Nd3 0.2494 0.2167 0.8264
Sm1 0.0000 0.0685 0.7500
Mg1 0.0000 0.3997 0.2500
```